# 1
A plane-wave DFT calculation with PBE was carried out for an optimized crystal structure of Sc2TlBRu.

Unit cell a=4.7242 b=4.7242 c=4.0315 alpha=90.00 beta=90.00 gamma=90.00
Element x y z (fractional)
Sc: 0.0000 0.5000 0.0000
Sc: 0.5000 0.0000 0.0000
Ru: 0.0000 0.0000 0.5000
Tl: 0.5000 0.5000 0.5000
B: 0.0000 0.0000 0.0000

Density, g/cm³: 7.50
Raw total energy, eV/atom: -6.570
Size of the total moment, μB/cell: 0.00
ΔE_f, eV per formula unit: -1.9

# 2
A plane-wave DFT calculation with PBE was carried out for an optimized crystal structure of TbInAgPd.

Unit cell a=4.8914 b=4.8914 c=4.8914 alpha=60.00 beta=60.00 gamma=60.00
Element x y z (fractional)
Tb: 0.7500 0.7500 0.7500
Pd: 0.0000 0.0000 0.0000
Ag: 0.5000 0.5000 0.5000
In: 0.2500 0.2500 0.2500

Density, g/cm³: 9.79
Raw total energy, eV/atom: -4.412
Size of the total moment, μB/cell: 0.00
ΔE_f, eV per formula unit: -2.2

# 3
A plane-wave DFT calculation with PBE was carried out for an optimized crystal structure of Pm6Ga3Pt.

Unit cell a=5.1481 b=8.8952 c=11.8917 alpha=90.00 beta=89.99 gamma=90.00
Element x y z (fractional)
Pm: 0.5000 0.1627 0.9132
Pm: 0.4999 0.1743 0.5817
Pm: 0.5001 0.4962 0.2515
Pm: 0.4999 0.5038 0.7485
Pm: 0.5001 0.8257 0.4183
Pm: 0.5000 0.8373 0.0868
Pm: 0.0000 0.3373 0.4132
Pm: 0.9999 0.3257 0.0817
Pm: 0.0001 0.0037 0.7516
Pm: 0.9999 0.9963 0.2484
Pm: 0.0001 0.6743 0.9183
Pm: 0.0000 0.6627 0.5868
Ga: 0.5001 0.8386 0.7263
Ga: 0.5000 0.5000 0.0000
Ga: 0.4999 0.1614 0.2737
Ga: 0.0001 0.6614 0.2263
Ga: 0.0000 0.0000 0.5000
Ga: 0.9999 0.3386 0.7737
Pt: 0.5000 0.5000 0.5000
Pt: 0.0000 0.0000 0.0000

Density, g/cm³: 7.77
Raw total energy, eV/atom: -4.886
Size of the total moment, μB/cell: 0.00
ΔE_f, eV per formula unit: -5.2

# 4
A plane-wave DFT calculation with PBE was carried out for an optimized crystal structure of NaFe.

Unit cell a=6.7327 b=6.7327 c=6.7327 alpha=90.00 beta=90.00 gamma=90.00
Each line ends with the local moment (μB).
Element x y z (fractional)
Na: 0.2500 0.2500 0.2500  -0.03
Na: 0.2500 0.7500 0.7500  -0.03
Na: 0.7500 0.2500 0.7500  -0.03
Na: 0.7500 0.7500 0.2500  -0.03
Fe: 0.0000 0.0000 0.0000  3.11
Fe: 0.0000 0.5000 0.5000  3.11
Fe: 0.5000 0.0000 0.5000  3.11
Fe: 0.5000 0.5000 0.0000  3.11

Density, g/cm³: 1.72
Raw total energy, eV/atom: -2.929
Size of the total moment, μB/cell: 12.40
ΔE_f, eV per formula unit: 3.9

# 5
A plane-wave DFT calculation with PBE was carried out for an optimized crystal structure of KTl5Cd.

Unit cell a=4.7380 b=4.7380 c=10.6355 alpha=90.00 beta=90.00 gamma=90.00
Element x y z (fractional)
K: 0.0000 0.0000 0.5000
Tl: 0.0000 0.5000 0.2277
Tl: 0.0000 0.5000 0.7723
Tl: 0.5000 0.0000 0.2277
Tl: 0.5000 0.0000 0.7723
Tl: 0.0000 0.0000 0.0000
Cd: 0.5000 0.5000 0.0000

Density, g/cm³: 8.16
Raw total energy, eV/atom: -1.994
Size of the total moment, μB/cell: 0.00
ΔE_f, eV per formula unit: -0.1

# 6
A plane-wave DFT calculation with PBE was carried out for an optimized crystal structure of LaTcN2F.

Unit cell a=3.9946 b=3.9946 c=4.1317 alpha=90.00 beta=90.00 gamma=90.00
Element x y z (fractional)
N: 0.0000 0.5000 0.0000
N: 0.5000 0.0000 0.0000
F: 0.0000 0.0000 0.5000
Tc: 0.0000 0.0000 0.0000
La: 0.5000 0.5000 0.5000

Density, g/cm³: 7.15
Raw total energy, eV/atom: -7.811
Size of the total moment, μB/cell: 0.00
ΔE to the lowest computed polymorph, eV/f.u.: 0.00

# 7
A plane-wave DFT calculation with PBE was carried out for an optimized crystal structure of ErInPbBr6.

Unit cell a=7.6011 b=7.6011 c=14.1340 alpha=90.00 beta=90.00 gamma=120.00
Element x y z (fractional)
Er: 0.6667 0.3333 0.2500
Er: 0.3333 0.6667 0.7500
In: 0.0000 0.0000 0.0000
In: 0.0000 0.0000 0.5000
Pb: 0.3333 0.6667 0.2500
Pb: 0.6667 0.3333 0.7500
Br: 0.6489 0.6229 0.1346
Br: 0.9740 0.3511 0.1346
Br: 0.3511 0.9740 0.6346
Br: 0.0260 0.6489 0.8654
Br: 0.3771 0.3511 0.3654
Br: 0.9740 0.6229 0.3654
Br: 0.6229 0.9740 0.8654
Br: 0.6489 0.0260 0.3654
Br: 0.0260 0.3771 0.6346
Br: 0.3771 0.0260 0.1346
Br: 0.6229 0.6489 0.6346
Br: 0.3511 0.3771 0.8654

Density, g/cm³: 4.55
Raw total energy, eV/atom: -3.634
Size of the total moment, μB/cell: 0.00

# 8
A plane-wave DFT calculation with PBE was carried out for an optimized crystal structure of Zr2SbPRh.

Unit cell a=4.9286 b=4.3777 c=4.9286 alpha=90.00 beta=90.00 gamma=90.00
Element x y z (fractional)
Sb: 0.5000 0.5000 0.5000
Rh: 0.0000 0.5000 0.0000
Zr: 0.0000 0.0000 0.5000
Zr: 0.5000 0.0000 0.0000
P: 0.0000 0.0000 0.0000

Density, g/cm³: 6.84
Raw total energy, eV/atom: -7.260
Size of the total moment, μB/cell: 0.00

# 9
A plane-wave DFT calculation with PBE was carried out for an optimized crystal structure of Sm2CoHgC.

Unit cell a=3.6788 b=5.2314 c=5.2314 alpha=90.00 beta=90.00 gamma=90.00
Element x y z (fractional)
Sm: 0.0000 0.0000 0.5000
Sm: 0.0000 0.5000 0.0000
Co: 0.5000 0.0000 0.0000
Hg: 0.5000 0.5000 0.5000
C: 0.0000 0.0000 0.0000

Density, g/cm³: 9.44
Raw total energy, eV/atom: -5.555
Size of the total moment, μB/cell: 0.00
ΔE_f, eV per formula unit: -1.7

# 10
A plane-wave DFT calculation with PBE was carried out for an optimized crystal structure of Ca4TeP.

Unit cell a=6.3319 b=6.3319 c=6.3319 alpha=60.00 beta=60.00 gamma=60.00
Element x y z (fractional)
Ca: 0.8737 0.3754 0.3754
Ca: 0.3754 0.3754 0.8737
Ca: 0.3754 0.8737 0.3754
Ca: 0.3754 0.3754 0.3754
Te: 0.0000 0.0000 0.0000
P: 0.7500 0.7500 0.7500

Density, g/cm³: 2.95
Raw total energy, eV/atom: -2.732
Size of the total moment, μB/cell: 0.00

# 11
A plane-wave DFT calculation with PBE was carried out for an optimized crystal structure of GaHSeO4.

Unit cell a=4.5282 b=6.1593 c=11.9466 alpha=90.00 beta=90.00 gamma=90.00
Element x y z (fractional)
Ga: 0.0000 0.5000 0.0000
Ga: 0.5000 0.0000 0.5000
Ga: 0.0000 0.0000 0.0000
Ga: 0.5000 0.5000 0.5000
H: 0.3989 0.7500 0.9266
H: 0.1011 0.7500 0.4266
H: 0.6011 0.2500 0.0734
H: 0.8989 0.2500 0.5734
Se: 0.4764 0.7500 0.1708
Se: 0.0236 0.7500 0.6708
Se: 0.5236 0.2500 0.8292
Se: 0.9764 0.2500 0.3292
O: 0.7361 0.7500 0.0545
O: 0.7639 0.7500 0.5545
O: 0.2639 0.2500 0.9455
O: 0.2361 0.2500 0.4455
O: 0.1819 0.7500 0.9221
O: 0.3181 0.7500 0.4221
O: 0.8181 0.2500 0.0779
O: 0.6819 0.2500 0.5779
O: 0.2690 0.5285 0.1339
O: 0.2310 0.9715 0.6339
O: 0.7310 0.0285 0.8661
O: 0.7690 0.4715 0.3661
O: 0.7310 0.4715 0.8661
O: 0.7690 0.0285 0.3661
O: 0.2690 0.9715 0.1339
O: 0.2310 0.5285 0.6339

Density, g/cm³: 4.26
Raw total energy, eV/atom: -5.457
Size of the total moment, μB/cell: 0.00

# 12
A plane-wave DFT calculation with PBE was carried out for an optimized crystal structure of PuBe5Cu7.

Unit cell a=4.5309 b=6.2229 c=6.2229 alpha=82.40 beta=68.65 gamma=68.65
Each line ends with the local moment (μB).
Element x y z (fractional)
Pu: 0.9973 0.0027 0.0027  5.05
Be: 0.5001 0.9952 0.5028  0.00
Be: 0.0019 0.9952 0.5028  0.00
Be: 0.5001 0.5028 0.9952  0.00
Be: 0.0019 0.5028 0.9952  0.00
Be: 0.7367 0.7633 0.7633  0.01
Cu: 0.6447 0.3553 0.3553  0.02
Cu: 0.3441 0.6559 0.6559  0.04
Cu: 0.9950 0.3565 0.6534  0.02
Cu: 0.9950 0.6534 0.3565  0.02
Cu: 0.2726 0.2274 0.2274  0.02
Cu: 0.5052 0.7770 0.2126  0.02
Cu: 0.5052 0.2126 0.7770  0.02

Density, g/cm³: 8.01
Raw total energy, eV/atom: -4.773
Size of the total moment, μB/cell: 5.50
ΔE_f, eV per formula unit: -0.4

# 13
A plane-wave DFT calculation with PBE was carried out for an optimized crystal structure of Li2Zn2CuPd5.

Unit cell a=3.7456 b=9.1780 c=9.1780 alpha=90.00 beta=90.00 gamma=90.00
Element x y z (fractional)
Li: 0.0000 0.6696 0.1696
Li: 0.0000 0.3304 0.8304
Li: 0.0000 0.1696 0.3304
Li: 0.0000 0.8304 0.6696
Zn: 0.0000 0.1307 0.6307
Zn: 0.0000 0.8693 0.3693
Zn: 0.0000 0.6307 0.8693
Zn: 0.0000 0.3693 0.1307
Cu: 0.0000 0.0000 0.0000
Cu: 0.0000 0.5000 0.5000
Pd: 0.5000 0.1953 0.0765
Pd: 0.5000 0.8047 0.9235
Pd: 0.5000 0.0765 0.8047
Pd: 0.5000 0.6953 0.4235
Pd: 0.5000 0.9235 0.1953
Pd: 0.5000 0.3047 0.5765
Pd: 0.5000 0.5765 0.6953
Pd: 0.5000 0.4235 0.3047
Pd: 0.5000 0.5000 0.0000
Pd: 0.5000 0.0000 0.5000

Density, g/cm³: 7.79
Raw total energy, eV/atom: -3.946
Size of the total moment, μB/cell: 0.00
ΔE_f, eV per formula unit: -3.0

# 14
A plane-wave DFT calculation with PBE was carried out for an optimized crystal structure of GaOs3Pd.

Unit cell a=4.4773 b=4.4773 c=4.4773 alpha=90.00 beta=90.00 gamma=90.00
Each line ends with the local moment (μB).
Element x y z (fractional)
Os: 0.0000 0.5000 0.0000  0.25
Os: 0.0000 0.0000 0.5000  0.23
Os: 0.5000 0.0000 0.0000  0.25
Ga: 0.0000 0.0000 0.0000  0.01
Pd: 0.5000 0.5000 0.5000  0.08

Density, g/cm³: 13.82
Raw total energy, eV/atom: -6.387
Size of the total moment, μB/cell: 0.83
ΔE to the lowest computed polymorph, eV/f.u.: 0.00
ΔE_f, eV per formula unit: 10.0

# 15
A plane-wave DFT calculation with PBE was carried out for an optimized crystal structure of MgTiZn2S.

Unit cell a=5.1184 b=4.5354 c=5.1184 alpha=90.00 beta=90.00 gamma=90.00
Element x y z (fractional)
Mg: 0.5000 0.5000 0.5000
Zn: 0.0000 0.0000 0.5000
Zn: 0.5000 0.0000 0.0000
S: 0.0000 0.5000 0.0000
Ti: 0.0000 0.0000 0.0000

Density, g/cm³: 3.29
Raw total energy, eV/atom: -3.080
Size of the total moment, μB/cell: 0.01

# 16
A plane-wave DFT calculation with PBE was carried out for an optimized crystal structure of Zn6O6Ar.

Unit cell a=5.7179 b=5.7179 c=5.7179 alpha=90.00 beta=90.00 gamma=90.00
Element x y z (fractional)
Ar: 0.0000 0.0000 0.0000
Zn: 0.2512 0.5000 0.0000
Zn: 0.7488 0.5000 0.0000
Zn: 0.5000 0.0000 0.2512
Zn: 0.5000 0.0000 0.7488
Zn: 0.0000 0.2512 0.5000
Zn: 0.0000 0.7488 0.5000
O: 0.2503 0.0000 0.5000
O: 0.7497 0.0000 0.5000
O: 0.0000 0.5000 0.2503
O: 0.0000 0.5000 0.7497
O: 0.5000 0.2503 0.0000
O: 0.5000 0.7497 0.0000

Density, g/cm³: 4.69
Raw total energy, eV/atom: -4.085
Size of the total moment, μB/cell: 0.00

# 17
A plane-wave DFT calculation with PBE was carried out for an optimized crystal structure of Cs3K5Na3.

Unit cell a=8.0922 b=11.9078 c=11.9078 alpha=120.00 beta=90.00 gamma=90.00
Element x y z (fractional)
Cs: 0.0000 0.6667 0.0000
Cs: 0.0000 0.0000 0.6667
Cs: 0.0000 0.3333 0.3333
K: 0.5000 0.6667 0.3333
K: 0.5000 0.3333 0.6667
K: 0.5000 0.2414 0.0000
K: 0.5000 0.7585 0.7585
K: 0.5000 0.0000 0.2414
Na: 0.5000 0.6125 0.0000
Na: 0.5000 0.3876 0.3876
Na: 0.5000 0.0000 0.6125

Density, g/cm³: 1.11
Raw total energy, eV/atom: -0.986
Size of the total moment, μB/cell: 0.00
ΔE_f, eV per formula unit: 1.2

# 18
A plane-wave DFT calculation with PBE was carried out for an optimized crystal structure of Eu2ZrO4.

Unit cell a=4.1749 b=4.1749 c=6.9472 alpha=107.49 beta=107.49 gamma=90.00
Each line ends with the local moment (μB).
Element x y z (fractional)
Eu: 0.6462 0.6462 0.2923  6.83
Eu: 0.3538 0.3538 0.7077  6.83
O: 0.8306 0.8306 0.6613  -0.04
O: 0.1694 0.1694 0.3387  -0.04
O: 0.0000 0.5000 0.0000  -0.02
O: 0.5000 0.0000 0.0000  -0.02
Zr: 0.0000 0.0000 0.0000  0.07

Density, g/cm³: 6.96
Raw total energy, eV/atom: -10.011
Size of the total moment, μB/cell: 13.97

# 19
A plane-wave DFT calculation with PBE was carried out for an optimized crystal structure of Ce3UN5.

Unit cell a=6.7945 b=6.7945 c=7.7764 alpha=115.90 beta=115.90 gamma=90.00
Each line ends with the local moment (μB).
Element x y z (fractional)
Ce: 0.6776 0.1776 0.0000  0.32
Ce: 0.3224 0.8224 0.0000  0.32
Ce: 0.8224 0.6776 0.0000  0.32
Ce: 0.1776 0.3224 0.0000  0.32
Ce: 0.2500 0.2500 0.5000  1.00
Ce: 0.7500 0.7500 0.5000  1.00
U: 0.7500 0.2500 0.5000  1.28
U: 0.2500 0.7500 0.5000  1.28
N: 0.0285 0.5285 0.7234  -0.06
N: 0.6950 0.1950 0.7234  -0.06
N: 0.1950 0.0285 0.7234  -0.06
N: 0.5285 0.6950 0.7234  -0.06
N: 0.9715 0.4715 0.2766  -0.06
N: 0.3050 0.8050 0.2766  -0.06
N: 0.8050 0.9715 0.2766  -0.06
N: 0.4715 0.3050 0.2766  -0.06
N: 0.5000 0.5000 0.0000  -0.05
N: 0.0000 0.0000 0.0000  -0.05

Density, g/cm³: 8.57
Raw total energy, eV/atom: -8.919
Size of the total moment, μB/cell: 6.07

# 20
A plane-wave DFT calculation with PBE was carried out for an optimized crystal structure of BaOs2SeO.

Unit cell a=4.5015 b=5.7494 c=4.5015 alpha=90.00 beta=90.00 gamma=90.00
Each line ends with the local moment (μB).
Element x y z (fractional)
O: 0.0000 0.5000 0.0000  0.57
Os: 0.0000 0.0000 0.5000  0.68
Os: 0.5000 0.0000 0.0000  0.70
Ba: 0.5000 0.5000 0.5000  -0.01
Se: 0.0000 0.0000 0.0000  -0.03

Density, g/cm³: 8.73
Raw total energy, eV/atom: -5.828
Size of the total moment, μB/cell: 2.14